No. 1
## SrFe2NiF (PBEsol)

Data for crystalline SrFe2NiF at its relaxed geometry.

Lattice parameters (Å, degrees): 4.191 4.191 6.082 90.00 90.00 90.00
Fractional positions:
Sr 0.000 0.000 0.000
Fe 0.000 0.500 0.500
Fe 0.500 0.000 0.500
Ni 0.000 0.000 0.500
F 0.500 0.500 0.000

As for the space group: P4/mmm. For the uncorrected formation energy, the calculation gives 0.110 eV per atom. Its raw total energy is -27.30 eV for the cell shown. As for the total magnetization: 1.306 μB per atom.

***

No. 2
## Fe4O5F3 (PBEsol)

Data for crystalline Fe4O5F3 at its relaxed geometry.

Lattice parameters (Å, degrees): 5.349 5.349 5.349 116.72 110.18 101.85
Fractional positions:
Fe 0.000 0.000 0.000
Fe 0.468 0.241 0.772
Fe 0.468 0.696 0.228
Fe 0.973 0.473 0.500
O 0.180 0.235 0.455
O 0.180 0.726 0.945
O 0.272 0.272 0.000
O 0.780 0.235 0.055
O 0.780 0.726 0.545
F 0.276 0.776 0.500
F 0.657 0.157 0.500
F 0.708 0.708 0.000

As for the space group: Imm2. For the uncorrected formation energy, the calculation gives -1.461 eV per atom. Its raw total energy is -85.41 eV for the cell shown. As for the total magnetization: 0.927 μB per atom.

***

No. 3
## Fe6O5F7 (PBEsol)

Data for crystalline Fe6O5F7 at its relaxed geometry.

Lattice parameters (Å, degrees): 8.849 4.689 4.689 96.67 90.00 90.00
Fractional positions:
Fe 0.000 0.000 0.000
Fe 0.154 0.507 0.507
Fe 0.323 0.012 0.012
Fe 0.500 0.468 0.468
Fe 0.677 0.012 0.012
Fe 0.846 0.507 0.507
O 0.163 0.206 0.206
O 0.166 0.798 0.798
O 0.500 0.180 0.180
O 0.834 0.798 0.798
O 0.837 0.206 0.206
F 0.000 0.289 0.711
F 0.000 0.711 0.289
F 0.336 0.299 0.694
F 0.336 0.694 0.299
F 0.500 0.788 0.788
F 0.664 0.299 0.694
F 0.664 0.694 0.299

As for the space group: Amm2. For the uncorrected formation energy, the calculation gives -1.658 eV per atom. Its raw total energy is -123.37 eV for the cell shown. As for the total magnetization: 0.414 μB per atom.